VASP calculation (PBE) on a relaxed structure of Ho3Fe5H12.

abc: 9.6306 9.6306 9.6306
angles: 109.47 109.47 109.47
With the nearest neighbours (Å) after each atom.
Fractional coordinates of all 80 atoms:
Ho 0.1250 0.2500 0.3750  8 H 2.21-2.23
Ho 0.1250 0.3750 0.7500  8 H 2.21-2.23
Ho 0.2500 0.3750 0.1250  8 H 2.21-2.23
Ho 0.2500 0.8750 0.6250  8 H 2.21-2.23
Ho 0.3750 0.1250 0.2500  8 H 2.21-2.23
Ho 0.3750 0.7500 0.1250  8 H 2.21-2.23
Ho 0.6250 0.2500 0.8750  8 H 2.21-2.23
Ho 0.6250 0.8750 0.7500  8 H 2.21-2.23
Ho 0.7500 0.1250 0.3750  8 H 2.21-2.23
Ho 0.7500 0.6250 0.8750  8 H 2.21-2.23
Ho 0.8750 0.6250 0.2500  8 H 2.21-2.23
Ho 0.8750 0.7500 0.6250  8 H 2.21-2.23
Fe 0.0000 0.0000 0.0000  6 H 1.68
Fe 0.0000 0.0000 0.5000  6 H 1.68
Fe 0.0000 0.5000 0.0000  6 H 1.68
Fe 0.0000 0.5000 0.5000  6 H 1.68
Fe 0.1250 0.7500 0.8750  4 H 1.72
Fe 0.1250 0.8750 0.2500  4 H 1.72
Fe 0.2500 0.1250 0.8750  4 H 1.72
Fe 0.2500 0.6250 0.3750  4 H 1.72
Fe 0.3750 0.2500 0.6250  4 H 1.72
Fe 0.3750 0.6250 0.7500  4 H 1.72
Fe 0.5000 0.0000 0.0000  6 H 1.68
Fe 0.5000 0.0000 0.5000  6 H 1.68
Fe 0.5000 0.5000 0.0000  6 H 1.68
Fe 0.5000 0.5000 0.5000  6 H 1.68
Fe 0.6250 0.3750 0.2500  4 H 1.72
Fe 0.6250 0.7500 0.3750  4 H 1.72
Fe 0.7500 0.3750 0.6250  4 H 1.72
Fe 0.7500 0.8750 0.1250  4 H 1.72
Fe 0.8750 0.1250 0.7500  4 H 1.72
Fe 0.8750 0.2500 0.1250  4 H 1.72
H 0.0213 0.1909 0.1071  2 Fe 1.68-1.72
H 0.0213 0.3304 0.9142  2 Fe 1.68-1.72
H 0.0838 0.6909 0.6696  2 Fe 1.68-1.72
H 0.0838 0.8929 0.4142  2 Fe 1.68-1.72
H 0.0858 0.6071 0.4162  2 Fe 1.68-1.72
H 0.0858 0.9787 0.6696  2 Fe 1.68-1.72
H 0.1071 0.0213 0.1909  2 Fe 1.68-1.72
H 0.1071 0.5858 0.9162  2 Fe 1.68-1.72
H 0.1696 0.1909 0.5838  2 Fe 1.68-1.72
H 0.1696 0.4787 0.5858  2 Fe 1.68-1.72
H 0.1909 0.1071 0.0213  2 Fe 1.68-1.72
H 0.1909 0.5838 0.1696  2 Fe 1.68-1.72
H 0.3091 0.3304 0.9162  2 Fe 1.68-1.72
H 0.3091 0.4787 0.3929  2 Fe 1.68-1.72
H 0.3304 0.9142 0.0213  2 Fe 1.68-1.72
H 0.3304 0.9162 0.3091  2 Fe 1.68-1.72
H 0.3929 0.3091 0.4787  2 Fe 1.68-1.72
H 0.3929 0.5838 0.9142  2 Fe 1.68-1.72
H 0.4142 0.0838 0.8929  2 Fe 1.68-1.72
H 0.4142 0.8304 0.5213  2 Fe 1.68-1.72
H 0.4162 0.0858 0.6071  2 Fe 1.68-1.72
H 0.4162 0.8304 0.8091  2 Fe 1.68-1.72
H 0.4787 0.3929 0.3091  2 Fe 1.68-1.72
H 0.4787 0.5858 0.1696  2 Fe 1.68-1.72
H 0.5213 0.4142 0.8304  2 Fe 1.68-1.72
H 0.5213 0.6071 0.6909  2 Fe 1.68-1.72
H 0.5838 0.1696 0.1909  2 Fe 1.68-1.72
H 0.5838 0.9142 0.3929  2 Fe 1.68-1.72
H 0.5858 0.1696 0.4787  2 Fe 1.68-1.72
H 0.5858 0.9162 0.1071  2 Fe 1.68-1.72
H 0.6071 0.4162 0.0858  2 Fe 1.68-1.72
H 0.6071 0.6909 0.5213  2 Fe 1.68-1.72
H 0.6696 0.0838 0.6909  2 Fe 1.68-1.72
H 0.6696 0.0858 0.9787  2 Fe 1.68-1.72
H 0.6909 0.5213 0.6071  2 Fe 1.68-1.72
H 0.6909 0.6696 0.0838  2 Fe 1.68-1.72
H 0.8091 0.4162 0.8304  2 Fe 1.68-1.72
H 0.8091 0.8929 0.9787  2 Fe 1.68-1.72
H 0.8304 0.5213 0.4142  2 Fe 1.68-1.72
H 0.8304 0.8091 0.4162  2 Fe 1.68-1.72
H 0.8929 0.4142 0.0838  2 Fe 1.68-1.72
H 0.8929 0.9787 0.8091  2 Fe 1.68-1.72
H 0.9142 0.0213 0.3304  2 Fe 1.68-1.72
H 0.9142 0.3929 0.5838  2 Fe 1.68-1.72
H 0.9162 0.1071 0.5858  2 Fe 1.68-1.72
H 0.9162 0.3091 0.3304  2 Fe 1.68-1.72
H 0.9787 0.6696 0.0858  2 Fe 1.68-1.72
H 0.9787 0.8091 0.8929  2 Fe 1.68-1.72

Output
**Energy**: -399.92 eV/cell
**Fermi-level density of states**: 10.94 states/eV/f.u.

VASP calculation (PBE) on a relaxed structure of Al2Cd3Ag4.

abc: 6.3031 6.3031 9.3314
angles: 99.76 99.76 27.56
With the nearest neighbours (Å) after each atom.
Fractional coordinates of all 9 atoms:
Al 0.1714 0.1714 0.2177  4 Ag 2.72-2.75, 2 Al 3.00
Al 0.8286 0.8286 0.7823  4 Ag 2.72-2.75, 2 Al 3.00
Cd 0.1567 0.1567 0.5563  5 Ag 2.96-3.04, 4 Cd 3.00-3.07, 3 Al 3.10-3.20
Cd 0.5000 0.5000 0.0000  6 Ag 2.95-2.96, 2 Cd 3.00, 4 Al 3.05
Cd 0.8433 0.8433 0.4437  5 Ag 2.96-3.04, 4 Cd 3.00-3.07, 3 Al 3.10-3.20
Ag 0.1747 0.1747 0.8857  2 Al 2.72, 2 Cd 2.96, 4 Ag 2.97-3.00
Ag 0.4880 0.4880 0.6820  2 Al 2.75, 5 Cd 2.95-2.99, 2 Ag 3.00
Ag 0.5120 0.5120 0.3180  2 Al 2.75, 5 Cd 2.95-2.99, 2 Ag 3.00
Ag 0.8253 0.8253 0.1143  2 Al 2.72, 2 Cd 2.96, 4 Ag 2.97-3.00

Output
**E_form**: 0.01 eV/atom
**Fermi-level density of states**: 1.53 states/eV/f.u.

VASP calculation (PBE) on a relaxed structure of Tb8Tm2Sc3.

abc: 8.6155 8.6155 5.9166
angles: 107.93 107.93 80.85
With the nearest neighbours (Å) after each atom.
Fractional coordinates of all 13 atoms:
Tb 0.0885 0.0885 0.2647  4 Tb 3.05-3.39, 3 Tm 3.08-3.33, 2 Sc 3.35
Tb 0.1122 0.5765 0.8532  3 Sc 3.20-3.56, 2 Tb 3.27-3.57, 1 Tm 3.34
Tb 0.3639 0.3639 0.3819  1 Tm 3.17, 2 Tb 3.26-3.39, 4 Sc 3.36-3.43
Tb 0.4235 0.8878 0.1468  3 Sc 3.20-3.56, 2 Tb 3.27-3.57, 1 Tm 3.34
Tb 0.5765 0.1122 0.8532  3 Sc 3.20-3.56, 2 Tb 3.27-3.57, 1 Tm 3.34
Tb 0.6361 0.6361 0.6181  1 Tm 3.17, 2 Tb 3.26-3.39, 4 Sc 3.36-3.43
Tb 0.8878 0.4235 0.1468  3 Sc 3.20-3.56, 2 Tb 3.27-3.57, 1 Tm 3.34
Tb 0.9115 0.9115 0.7353  4 Tb 3.05-3.39, 3 Tm 3.08-3.33, 2 Sc 3.35
Tm 0.1801 0.1801 0.8328  6 Tb 3.08-3.34
Tm 0.8199 0.8199 0.1672  6 Tb 3.08-3.34
Sc 0.2302 0.7698 0.5000  8 Tb 3.35-3.56, 2 Tm 3.51
Sc 0.5000 0.5000 0.0000  8 Tb 3.20-3.40
Sc 0.7698 0.2302 0.5000  8 Tb 3.35-3.56, 2 Tm 3.51

Output
**E_form**: 0.19 eV/atom
**Fermi-level density of states**: 20.13 states/eV/f.u.
**Polymorph energy (0 for the lowest one)**: 0.000 eV/f.u.

VASP calculation (PBE) on a relaxed structure of La2PrMoN4.

abc: 6.3589 6.3589 12.6373
angles: 90.00 90.00 147.59
With the nearest neighbours (Å) after each atom.
Fractional coordinates of all 16 atoms:
La 0.1314 0.8686 0.5404  5 N 2.45-2.73
La 0.1314 0.8686 0.9596  5 N 2.45-2.73
La 0.8686 0.1314 0.0404  5 N 2.45-2.73
La 0.8686 0.1314 0.4596  5 N 2.45-2.73
Pr 0.4109 0.5891 0.7500  6 N 2.64-2.87
Pr 0.5891 0.4109 0.2500  6 N 2.64-2.87
Mo 0.3286 0.6714 0.2500  2 N 1.90
Mo 0.6714 0.3286 0.7500  2 N 1.90
N 0.0712 0.9288 0.7500  2 Mo 2.16
N 0.2293 0.7707 0.1344  1 Mo 1.90
N 0.2293 0.7707 0.3656  1 Mo 1.90
N 0.5000 0.5000 0.0000  4 La 2.45
N 0.5000 0.5000 0.5000  4 La 2.45
N 0.7707 0.2293 0.6344  1 Mo 1.90
N 0.7707 0.2293 0.8656  1 Mo 1.90
N 0.9288 0.0712 0.2500  2 Mo 2.16

Output
**Formation energy from raw total energies**: -0.942 eV per atom
**Fermi-level density of states**: 3.81 states/eV/f.u.

VASP calculation (PBE) on a relaxed structure of LuMgCoHg.

abc: 4.7822 4.7822 4.7822
angles: 60.00 60.00 60.00
With the nearest neighbours (Å) after each atom.
Fractional coordinates of all 4 atoms:
Lu 0.0000 0.0000 0.0000  4 Hg 2.93, 4 Co 2.93
Mg 0.5000 0.5000 0.5000  4 Hg 2.93, 4 Co 2.93
Co 0.7500 0.7500 0.7500  4 Mg 2.93, 4 Lu 2.93
Hg 0.2500 0.2500 0.2500  4 Mg 2.93, 4 Lu 2.93

Output
**E_form**: -0.11 eV/atom
**Fermi-level density of states**: 3.07 states/eV/f.u.

VASP calculation (PBE) on a relaxed structure of TiCo3Pd.

abc: 4.4194 4.4194 4.4194
angles: 90.00 90.00 90.00
With the nearest neighbours (Å) after each atom.
Fractional coordinates of all 5 atoms:
Ti 0.0000 0.0000 0.0000  12 Co 3.12
Co 0.0000 0.5000 0.5000  2 Pd 2.21
Co 0.5000 0.0000 0.5000  2 Pd 2.21
Co 0.5000 0.5000 0.0000  2 Pd 2.21
Pd 0.5000 0.5000 0.5000  6 Co 2.21

Output
**E_form**: 1.51 eV/atom
**Fermi-level density of states**: 20.85 states/eV/f.u.
**Polymorph energy (0 for the lowest one)**: 2.706 eV/f.u.

VASP calculation (PBE) on a relaxed structure of RbMnCdSe3.

abc: 7.9635 3.8721 12.1198
angles: 90.00 106.41 90.00
With the nearest neighbours (Å) after each atom.
Fractional coordinates of all 12 atoms:
Rb 0.0073 0.2500 0.2989  7 Se 3.50-3.66, 2 Rb 3.87
Rb 0.9927 0.7500 0.7011  7 Se 3.50-3.66, 2 Rb 3.87
Mn 0.4612 0.2500 0.1144  5 Se 2.55-2.62
Mn 0.5388 0.7500 0.8856  5 Se 2.55-2.62
Cd 0.5002 0.2500 0.6150  4 Se 2.66-2.81
Cd 0.4998 0.7500 0.3850  4 Se 2.66-2.81
Se 0.2742 0.7500 0.5257  3 Cd 2.66-2.81
Se 0.2924 0.7500 0.1693  2 Mn 2.55, 1 Cd 2.67
Se 0.3305 0.2500 0.8900  3 Mn 2.56-2.62
Se 0.6695 0.7500 0.1100  3 Mn 2.56-2.62
Se 0.7076 0.2500 0.8307  2 Mn 2.55, 1 Cd 2.67
Se 0.7258 0.2500 0.4743  3 Cd 2.66-2.81

Output
**Formation energy from raw total energies**: -0.684 eV per atom
**Fermi-level density of states**: 1.13 states/eV/f.u.

VASP calculation (PBE) on a relaxed structure of BaTcBr2.

abc: 4.0316 4.0316 7.2793
angles: 90.00 90.00 90.00
With the nearest neighbours (Å) after each atom.
Fractional coordinates of all 4 atoms:
Ba 0.0000 0.0000 0.0000  8 Br 3.38, 2 Tc 3.64
Tc 0.0000 0.0000 0.5000  8 Br 3.38, 2 Ba 3.64
Br 0.5000 0.5000 0.2502  4 Tc 3.38, 4 Ba 3.38, 2 Br 3.64
Br 0.5000 0.5000 0.7498  4 Tc 3.38, 4 Ba 3.38, 2 Br 3.64

Output
**Formation energy from raw total energies**: -0.072 eV per atom
**Fermi-level density of states**: 3.06 states/eV/f.u.
**Polymorph energy (0 for the lowest one)**: 1.187 eV/f.u.